KFe2Au: optimized geometry, PBE-GGA.

a b c (Å): 4.084 4.084 9.018
angles (deg): 90.00 90.00 90.00
Space group I4/mmm (No. 139)
Symmetry-distinct sites (fractional):
K: 0.000 0.000 0.000
Fe: 0.000 0.500 0.250
Au: 0.000 0.000 0.500

- raw total energy (eV per atom) = -4.359
- M_tot (μB per atom) = 1.48